[1]
Here is a relaxed structure of NiHgB4 from the Open Quantum Materials Database. Energies are from PBE.

```
NiHgB4
1.0
-2.304 -0.837 1.681
1.069 -1.837 -2.077
5.758 -3.565 6.117
B Ni Hg
4 1 1
Direct
0.667 0.333 0.340 B
0.667 0.333 0.660 B
0.333 0.667 0.340 B
0.333 0.667 0.660 B
0.000 0.000 0.500 Ni
0.000 0.000 0.000 Hg
```

Values from the calculation:
Space-group type: No. 191

[2]
Here is a relaxed structure of NiHgBOs from the Open Quantum Materials Database. Energies are from PBE.

```
NiHgBOs
1.0
2.589 2.178 2.458
-1.516 2.144 3.255
0.768 -1.299 3.900
B Os Hg Ni
1 1 1 1
Direct
0.000 0.000 0.000 B
0.250 0.250 0.250 Os
0.750 0.750 0.750 Hg
0.500 0.500 0.500 Ni
```

Values from the calculation:
Space-group type: No. 216

[3]
Here is a relaxed structure of NiHgBOs from the Open Quantum Materials Database. Energies are from PBE.

```
NiHgBOs
1.0
0.000 3.033 3.033
3.033 0.000 3.033
3.033 3.033 0.000
B Ni Hg Os
1 1 1 1
Direct
0.000 0.000 0.000 B
0.750 0.750 0.750 Ni
0.250 0.250 0.250 Hg
0.500 0.500 0.500 Os
```

Values from the calculation:
Space-group type: No. 216

[4]
Here is a relaxed structure of NiHgBPd from the Open Quantum Materials Database. Energies are from PBE.

```
NiHgBPd
1.0
1.970 -2.543 2.736
1.559 1.571 3.596
-1.825 -0.953 3.687
Ni Hg B Pd
1 1 1 1
Direct
0.500 0.500 0.500 Ni
0.250 0.250 0.250 Hg
0.000 0.000 0.000 B
0.750 0.750 0.750 Pd
```

Values from the calculation:
Space-group type: No. 216

Number 1: excess energy over the best structure of this formula in the dataset 0 meV per atom. Number 2: excess energy over the best structure of this formula in the dataset 0 meV per atom. Number 3: excess energy over the best structure of this formula in the dataset 531 meV per atom. Number 4: excess energy over the best structure of this formula in the dataset 0 meV per atom.